[1]
Computed, not measured: Tb2PrSi after structural relaxation at the PBE-GGA level of DFT.

Cell and atoms, written as CIF:
```
data_Tb2PrSi
_cell_length_a 4.7235
_cell_length_b 4.7235
_cell_length_c 4.6841
_cell_angle_alpha 90.00
_cell_angle_beta 90.00
_cell_angle_gamma 90.00
_symmetry_space_group_name_H-M 'P 4/m m m'
_symmetry_Int_Tables_number 123
_symmetry_space_group_name_Hall '-P 4 2'
loop_
_atom_site_label
_atom_site_type_symbol
_atom_site_fract_x
_atom_site_fract_y
_atom_site_fract_z
_atom_site_occupancy
Tb1 Tb 0.0000 0.5000 0.0000 1
Pr1 Pr 0.0000 0.0000 0.5000 1
Si1 Si 0.5000 0.5000 0.5000 1
```

Properties
Formation energy from raw total energies: -0.241 eV per atom
DOS at the Fermi energy: 4.5 states/eV per cell


[2]
Computed, not measured: SmPuMgSi after structural relaxation at the PBE-GGA level of DFT.

Cell and atoms, written as CIF:
```
data_SmPuMgSi
_cell_length_a 7.2692
_cell_length_b 7.2692
_cell_length_c 7.2692
_cell_angle_alpha 90.00
_cell_angle_beta 90.00
_cell_angle_gamma 90.00
_symmetry_space_group_name_H-M 'F -4 3 m'
_symmetry_Int_Tables_number 216
_symmetry_space_group_name_Hall 'F -4 2 3'
loop_
_atom_site_label
_atom_site_type_symbol
_atom_site_fract_x
_atom_site_fract_y
_atom_site_fract_z
_atom_site_occupancy
Sm1 Sm 0.0000 0.0000 0.0000 1
Pu1 Pu 0.0000 0.0000 0.5000 1
Mg1 Mg 0.2500 0.2500 0.7500 1
Si1 Si 0.2500 0.2500 0.2500 1
```

Properties
Formation energy from raw total energies: -0.136 eV per atom
DOS at the Fermi energy: 35.4 states/eV per cell


[3]
Computed, not measured: GaTe2Pd after structural relaxation at the PBE-GGA level of DFT.

Cell and atoms, written as CIF:
```
data_GaTe2Pd
_cell_length_a 4.0186
_cell_length_b 4.0186
_cell_length_c 26.0761
_cell_angle_alpha 90.00
_cell_angle_beta 90.00
_cell_angle_gamma 120.00
_symmetry_space_group_name_H-M 'R -3 m'
_symmetry_Int_Tables_number 166
_symmetry_space_group_name_Hall '-R 3 2"'
loop_
_atom_site_label
_atom_site_type_symbol
_atom_site_fract_x
_atom_site_fract_y
_atom_site_fract_z
_atom_site_occupancy
Ga1 Ga 0.0000 0.0000 0.0000 1
Te1 Te 0.0000 0.0000 0.1126 1
Pd1 Pd 0.0000 0.0000 0.5000 1
```

Properties
Formation energy from raw total energies: -0.030 eV per atom
DOS at the Fermi energy: 6.8 states/eV per cell


no.,total magnetic moment (μB per cell)
1,0.00
2,24.64
3,0.00